Entry from the Alexandria database: crystalline Li2HoHg at its relaxed geometry (GGA-PBE).

Cell: 4.7833 4.7833 4.7833 Å, 60.00 60.00 60.00°
Closest atoms and distances in Å follow each position.
Positions (direct):
Li (0.2500, 0.2500, 0.2500)  4 Hg 2.93, 4 Ho 2.93
Li (0.7500, 0.7500, 0.7500)  4 Hg 2.93, 4 Ho 2.93
Ho (0.0000, 0.0000, 0.0000)  8 Li 2.93
Hg (0.5000, 0.5000, 0.5000)  8 Li 2.93

Calculated values
Relative energy among the computed polymorphs ... 0 meV per atom
Magnetic moment ... 0.0 μB per formula unit
Raw total energy ... -9.36 eV for the cell shown


Entry from the Alexandria database: crystalline Li12HoHg6 at its relaxed geometry (GGA-PBE).

Cell: 7.2883 7.2883 7.2883 Å, 88.43 88.43 88.43°
Closest atoms and distances in Å follow each position.
Positions (direct):
Li (0.0237, 0.9040, 0.3133)  4 Hg 2.77-2.85, 4 Li 2.96-3.10
Li (0.0960, 0.6867, 0.9763)  4 Hg 2.77-2.85, 4 Li 2.96-3.10
Li (0.1024, 0.4511, 0.3381)  2 Hg 2.74-2.97, 2 Li 2.85-2.96
Li (0.3133, 0.0237, 0.9040)  4 Hg 2.77-2.85, 4 Li 2.96-3.10
Li (0.3381, 0.1024, 0.4511)  2 Hg 2.74-2.97, 2 Li 2.85-2.96
Li (0.4511, 0.3381, 0.1024)  2 Hg 2.74-2.97, 2 Li 2.85-2.96
Li (0.5489, 0.6619, 0.8976)  2 Hg 2.74-2.97, 2 Li 2.85-2.96
Li (0.6619, 0.8976, 0.5489)  2 Hg 2.74-2.97, 2 Li 2.85-2.96
Li (0.6867, 0.9763, 0.0960)  4 Hg 2.77-2.85, 4 Li 2.96-3.10
Li (0.8976, 0.5489, 0.6619)  2 Hg 2.74-2.97, 2 Li 2.85-2.96
Li (0.9040, 0.3133, 0.0237)  4 Hg 2.77-2.85, 4 Li 2.96-3.10
Li (0.9763, 0.0960, 0.6867)  4 Hg 2.77-2.85, 4 Li 2.96-3.10
Ho (0.5000, 0.5000, 0.5000)  6 Hg 3.04, 6 Li 3.19
Hg (0.2112, 0.3734, 0.7804)  6 Li 2.74-2.97, 1 Ho 3.04
Hg (0.2196, 0.7888, 0.6266)  6 Li 2.74-2.97, 1 Ho 3.04
Hg (0.3734, 0.7804, 0.2112)  6 Li 2.74-2.97, 1 Ho 3.04
Hg (0.6266, 0.2196, 0.7888)  6 Li 2.74-2.97, 1 Ho 3.04
Hg (0.7804, 0.2112, 0.3734)  6 Li 2.74-2.97, 1 Ho 3.04
Hg (0.7888, 0.6266, 0.2196)  6 Li 2.74-2.97, 1 Ho 3.04

Calculated values
Magnetic moment ... 0.0 μB per formula unit
Raw total energy ... -33.88 eV for the cell shown


Copy entry 2 word for word.
Entry from the Alexandria database: crystalline Li12HoHg6 at its relaxed geometry (GGA-PBE).

Cell: 7.2883 7.2883 7.2883 Å, 88.43 88.43 88.43°
Closest atoms and distances in Å follow each position.
Positions (direct):
Li (0.0237, 0.9040, 0.3133)  4 Hg 2.77-2.85, 4 Li 2.96-3.10
Li (0.0960, 0.6867, 0.9763)  4 Hg 2.77-2.85, 4 Li 2.96-3.10
Li (0.1024, 0.4511, 0.3381)  2 Hg 2.74-2.97, 2 Li 2.85-2.96
Li (0.3133, 0.0237, 0.9040)  4 Hg 2.77-2.85, 4 Li 2.96-3.10
Li (0.3381, 0.1024, 0.4511)  2 Hg 2.74-2.97, 2 Li 2.85-2.96
Li (0.4511, 0.3381, 0.1024)  2 Hg 2.74-2.97, 2 Li 2.85-2.96
Li (0.5489, 0.6619, 0.8976)  2 Hg 2.74-2.97, 2 Li 2.85-2.96
Li (0.6619, 0.8976, 0.5489)  2 Hg 2.74-2.97, 2 Li 2.85-2.96
Li (0.6867, 0.9763, 0.0960)  4 Hg 2.77-2.85, 4 Li 2.96-3.10
Li (0.8976, 0.5489, 0.6619)  2 Hg 2.74-2.97, 2 Li 2.85-2.96
Li (0.9040, 0.3133, 0.0237)  4 Hg 2.77-2.85, 4 Li 2.96-3.10
Li (0.9763, 0.0960, 0.6867)  4 Hg 2.77-2.85, 4 Li 2.96-3.10
Ho (0.5000, 0.5000, 0.5000)  6 Hg 3.04, 6 Li 3.19
Hg (0.2112, 0.3734, 0.7804)  6 Li 2.74-2.97, 1 Ho 3.04
Hg (0.2196, 0.7888, 0.6266)  6 Li 2.74-2.97, 1 Ho 3.04
Hg (0.3734, 0.7804, 0.2112)  6 Li 2.74-2.97, 1 Ho 3.04
Hg (0.6266, 0.2196, 0.7888)  6 Li 2.74-2.97, 1 Ho 3.04
Hg (0.7804, 0.2112, 0.3734)  6 Li 2.74-2.97, 1 Ho 3.04
Hg (0.7888, 0.6266, 0.2196)  6 Li 2.74-2.97, 1 Ho 3.04

Calculated values
Magnetic moment ... 0.0 μB per formula unit
Raw total energy ... -33.88 eV for the cell shown